# Li2ZrAs

Li2ZrAs after structural relaxation (GGA-PBE, Alexandria via LeMat-Bulk).

Properties
Volume   18.5 Å³ per atom
Raw total energy   -4.360 eV per atom
ΔH_f (0 K)   -104 meV/atom

Cell lengths 2.8506, 2.8506, 9.1098 Å; angles 90.00, 90.00, 90.00 degrees
Closest atoms and distances in Å follow each position.
Atoms (fractional coordinates):
As  0.5000  0.5000  0.7500  8 Li 2.75, 4 As 2.85
Li  0.0000  0.0000  0.9559  4 As 2.75, 4 Li 2.85
Li  0.0000  0.0000  0.5441  4 As 2.75, 4 Li 2.85
Zr  0.5000  0.5000  0.2500  4 Zr 2.85

=====

# LiZr2As

LiZr2As after structural relaxation (GGA-PBE, Alexandria via LeMat-Bulk).

Properties
Volume   19.5 Å³ per atom
Raw total energy   -6.310 eV per atom
ΔH_f (0 K)   -395 meV/atom

Cell lengths 3.6510, 3.6510, 5.8623 Å; angles 90.00, 90.00, 90.00 degrees
Closest atoms and distances in Å follow each position.
Atoms (fractional coordinates):
As  0.0000  0.0000  0.4937  6 Zr 2.88-2.94, 4 Li 2.95
Li  0.5000  0.5000  0.7367  5 Zr 2.70-2.99, 4 As 2.95
Zr  0.0000  0.0000  0.9930  2 As 2.93-2.94, 4 Li 2.99, 4 Zr 3.07
Zr  0.5000  0.5000  0.2765  1 Li 2.70, 4 As 2.88

=====

In kJ per mole of atoms, the offset from the most stable computed form values for the records above are, in order, 37.8, 17.6.